(1)
## MnReSb2Te (PBE-GGA)

Data for a geometry-optimized MnReSb2Te structure.

**E above lowest polymorph**: 0.00 eV per formula unit
**Volume**: 29.6 A^3/atom
**Uncorrected formation energy**: 959 meV per atom
**SG**: No. 123

Unit cell a=5.046 b=5.046 c=5.816 alpha=90.00 beta=90.00 gamma=90.00
Positions (direct):
1 Mn 0.000 0.000 0.000
2 Re 0.500 0.500 0.500
3 Sb 0.000 0.500 0.500
4 Sb 0.500 0.000 0.500
5 Te 0.500 0.500 0.000



(2)
## Dy4Er3Tl (PBE-GGA)

Data for a geometry-optimized Dy4Er3Tl structure.

**Formation energy**: -65 meV/atom
**Volume**: 29.9 A^3/atom
**SG**: No. 31

Unit cell a=11.132 b=6.996 c=6.147 alpha=90.00 beta=90.00 gamma=90.00
Positions (direct):
1 Dy 0.000 0.128 0.000
2 Dy 0.000 0.869 0.466
3 Dy 0.237 0.873 0.825
4 Dy 0.263 0.127 0.325
5 Dy 0.500 0.131 0.966
6 Dy 0.500 0.872 0.500
7 Dy 0.737 0.127 0.325
8 Dy 0.763 0.873 0.825
9 Er 0.000 0.369 0.472
10 Er 0.244 0.383 0.804
11 Er 0.256 0.617 0.304
12 Er 0.500 0.631 0.972
13 Er 0.744 0.617 0.304
14 Er 0.756 0.383 0.804
15 Tl 0.000 0.618 0.983
16 Tl 0.500 0.382 0.483



(3)
## Rb2CeCuI6 (PBE-GGA)

Data for a geometry-optimized Rb2CeCuI6 structure.

**Volume**: 43.3 A^3/atom
**Uncorrected formation energy**: -1097 meV per atom
**SG**: No. 12

Unit cell a=8.494 b=8.494 c=8.479 alpha=119.90 beta=119.90 gamma=90.27
Positions (direct):
1 Rb 0.250 0.750 0.000
2 Rb 0.750 0.250 0.000
3 Ce 0.000 0.000 0.500
4 Cu 0.500 0.500 0.500
5 I 0.259 0.741 0.500
6 I 0.260 0.260 0.499
7 I 0.261 0.261 0.021
8 I 0.739 0.739 0.979
9 I 0.740 0.740 0.501
10 I 0.741 0.259 0.500



(4)
## Ce2TmV (PBE-GGA)

Data for a geometry-optimized Ce2TmV structure.

**Formation energy**: 336 meV/atom
**Volume**: 24.8 A^3/atom
**SG**: No. 166

Unit cell a=10.403 b=10.403 c=10.403 alpha=18.54 beta=18.54 gamma=18.54
Positions (direct):
1 Ce 0.240 0.240 0.240
2 Ce 0.760 0.760 0.760
3 Tm 0.000 0.000 0.000
4 V 0.500 0.500 0.500



(5)
## AcPm6Nd3Y2 (PBE-GGA)

Data for a geometry-optimized AcPm6Nd3Y2 structure.

**Formation energy**: 22 meV/atom
**Volume**: 35.1 A^3/atom
**SG**: No. 12

Unit cell a=6.359 b=6.359 c=12.215 alpha=94.98 beta=94.98 gamma=119.97
Positions (direct):
1 Ac 0.000 0.000 0.000
2 Pm 0.084 0.420 0.251
3 Pm 0.252 0.252 0.748
4 Pm 0.420 0.084 0.251
5 Pm 0.580 0.916 0.749
6 Pm 0.748 0.748 0.252
7 Pm 0.916 0.580 0.749
8 Nd 0.167 0.833 0.500
9 Nd 0.500 0.500 0.500
10 Nd 0.833 0.167 0.500
11 Y 0.333 0.667 0.000
12 Y 0.667 0.333 0.000



(6)
## AlHgPb2 (PBE-GGA)

Data for a geometry-optimized AlHgPb2 structure.

**Formation energy**: 175 meV/atom
**E above lowest polymorph**: 0.21 eV per formula unit
**Volume**: 27.4 A^3/atom
**SG**: No. 10

Unit cell a=3.514 b=5.049 c=6.411 alpha=90.00 beta=105.27 gamma=90.00
Positions (direct):
1 Al 0.000 0.000 0.000
2 Hg 0.000 0.000 0.500
3 Pb 0.394 0.500 0.232
4 Pb 0.606 0.500 0.768



(7)
## Y2TiCdH (PBE-GGA)

Data for a geometry-optimized Y2TiCdH structure.

**Volume**: 20.6 A^3/atom
**SG**: No. 123

Unit cell a=5.081 b=5.081 c=3.986 alpha=90.00 beta=90.00 gamma=90.00
Positions (direct):
1 Y 0.000 0.500 0.000
2 Y 0.500 0.000 0.000
3 Ti 0.000 0.000 0.500
4 Cd 0.500 0.500 0.500
5 H 0.000 0.000 0.000



(8)
## MnOsSe (PBE-GGA)

Data for a geometry-optimized MnOsSe structure.

**E above lowest polymorph**: 0.83 eV per formula unit
**Volume**: 15.0 A^3/atom
**Uncorrected formation energy**: 531 meV per atom
**SG**: No. 44

Unit cell a=4.534 b=4.534 c=4.534 alpha=141.03 beta=128.93 gamma=66.06
Positions (direct):
1 Mn 0.000 0.000 0.000
2 Os 0.646 0.646 0.000
3 Se 0.315 0.315 0.000



(9)
## PrErIn2 (PBE-GGA)

Data for a geometry-optimized PrErIn2 structure.

**Formation energy**: -465 meV/atom
**E above lowest polymorph**: 0.04 eV per formula unit
**Volume**: 27.9 A^3/atom
**SG**: No. 225

Unit cell a=5.402 b=5.402 c=5.402 alpha=60.00 beta=60.00 gamma=60.00
Positions (direct):
1 Pr 0.000 0.000 0.000
2 Er 0.500 0.500 0.500
3 In 0.250 0.250 0.250
4 In 0.750 0.750 0.750



(10)
## PrYU2As4 (PBE-GGA)

Data for a geometry-optimized PrYU2As4 structure.

**Formation energy**: -1097 meV/atom
**Volume**: 25.2 A^3/atom
**SG**: No. 10

Unit cell a=7.174 b=4.114 c=7.230 alpha=90.00 beta=109.04 gamma=90.00
Positions (direct):
1 Pr 0.000 0.000 0.000
2 Y 0.500 0.500 0.000
3 U 0.000 0.500 0.500
4 U 0.500 0.000 0.500
5 As 0.253 0.000 0.742
6 As 0.259 0.500 0.262
7 As 0.741 0.500 0.738
8 As 0.747 0.000 0.258



(11)
## AcThSb2 (PBE-GGA)

Data for a geometry-optimized AcThSb2 structure.

**E above lowest polymorph**: 0.00 eV per formula unit
**Volume**: 35.4 A^3/atom
**Uncorrected formation energy**: -1061 meV per atom
**SG**: No. 166

Unit cell a=8.086 b=8.086 c=8.086 alpha=33.25 beta=33.25 gamma=33.25
Positions (direct):
1 Ac 0.000 0.000 0.000
2 Th 0.500 0.500 0.500
3 Sb 0.244 0.244 0.244
4 Sb 0.756 0.756 0.756



(12)
## LaSm2Pb3 (PBE-GGA)

Data for a geometry-optimized LaSm2Pb3 structure.

**Formation energy**: -520 meV/atom
**Volume**: 30.1 A^3/atom
**SG**: No. 10

Unit cell a=5.857 b=7.254 c=8.535 alpha=90.00 beta=95.42 gamma=90.00
Positions (direct):
1 La 0.169 0.000 0.333
2 La 0.831 0.000 0.667
3 Sm 0.168 0.500 0.335
4 Sm 0.500 0.000 0.000
5 Sm 0.500 0.500 0.000
6 Sm 0.832 0.500 0.665
7 Pb 0.000 0.257 0.000
8 Pb 0.000 0.743 0.000
9 Pb 0.332 0.259 0.670
10 Pb 0.332 0.741 0.670
11 Pb 0.668 0.259 0.330
12 Pb 0.668 0.741 0.330



The following DFT total energy values (in eV/atom) correspond, in order, to the records above: -5.642; -4.373; -3.223; -6.028; -4.965; -2.690; -5.185; -7.431; -4.170; -7.649; -6.004; -4.769.
The following N(E_F) values (in states/eV/f.u.) correspond, in order, to the records above: 4.30; 10.43; 4.32; 9.34; 17.58; 1.56; 4.52; 3.04; 1.38; 15.49; 2.21; 5.83.